Computed, not measured: a relaxed structure of TbPaRh at the GGA-PBE level of DFT.

Symmetry: No. 216
Spin magnetization (μB/f.u.): 0.38
E (eV/atom): -7.327
ΔH_f (0 K) (meV per atom): -168

The structure in POSCAR format:
```
TbPaRh
1.0
0.000 3.385 3.385
3.385 0.000 3.385
3.385 3.385 0.000
Tb Pa Rh
1 1 1
Cartesian
0.000 0.000 0.000
3.385 3.385 3.385
5.077 5.077 5.077
```